(1)
VASP calculation (GGA-PBE) on a relaxed Tb6PrHo2 crystal.

Structure (POSCAR):
```
Tb6PrHo2
1.0
-6.373 -0.094 1.728
-2.774 -7.692 -4.977
0.806 -4.518 8.400
Tb Ho Pr
12 4 2
Direct
0.501 0.649 0.281
0.999 0.719 0.351
0.727 0.060 0.463
0.178 0.049 0.222
0.773 0.537 0.940
0.273 0.940 0.537
0.822 0.951 0.778
0.678 0.222 0.049
0.001 0.281 0.649
0.499 0.351 0.719
0.227 0.463 0.060
0.322 0.778 0.951
0.634 0.664 0.616
0.134 0.616 0.664
0.366 0.336 0.384
0.866 0.384 0.336
0.250 0.122 0.878
0.750 0.878 0.122
```

Results
DFT formation energy: 10.0 kJ/mol of atoms


(2)
VASP calculation (GGA-PBE) on a relaxed Tb4Pr3Ho5 crystal.

Structure (POSCAR):
```
Tb4Pr3Ho5
1.0
6.904 -0.342 1.881
-5.214 7.426 -6.780
4.042 -3.789 11.667
Ho Tb Pr
5 4 3
Direct
0.668 0.332 0.165
0.749 0.502 0.001
0.500 0.000 0.500
0.251 0.498 0.999
0.332 0.668 0.835
0.918 0.836 0.669
0.082 0.164 0.331
0.168 0.335 0.167
0.832 0.665 0.833
0.585 0.167 0.333
0.000 0.000 0.500
0.415 0.833 0.667
```

Results
DFT formation energy: 1.7 kJ/mol of atoms


(3)
VASP calculation (GGA-PBE) on a relaxed Tb5PrHo6 crystal.

Structure (POSCAR):
```
Tb5PrHo6
1.0
11.667 -1.498 0.000
1.834 5.880 0.000
0.917 2.940 5.330
Tb Ho Pr
5 6 1
Direct
0.000 0.667 0.667
0.500 0.167 0.666
0.500 0.500 0.000
0.000 0.333 0.333
0.500 0.833 0.334
0.251 0.251 0.000
0.749 0.417 0.666
0.251 0.583 0.334
0.251 0.917 0.666
0.749 0.749 0.000
0.749 0.083 0.334
0.000 0.000 0.000
```

Results
DFT formation energy: 1.6 kJ/mol of atoms


(4)
VASP calculation (GGA-PBE) on a relaxed Tb3Pr3Ho2 crystal.

Structure (POSCAR):
```
Tb3Pr3Ho2
1.0
-4.336 1.782 -3.366
2.202 -3.279 -4.572
-3.218 -5.215 6.331
Pr Tb Ho
3 3 2
Direct
0.000 0.000 0.000
0.136 0.575 0.271
0.864 0.425 0.729
0.500 0.500 0.000
0.633 0.185 0.266
0.367 0.815 0.734
0.250 0.182 0.500
0.750 0.818 0.500
```

Results
DFT formation energy: 7.9 kJ/mol of atoms


(5)
VASP calculation (GGA-PBE) on a relaxed Tb2Pr3Ho6 crystal.

Structure (POSCAR):
```
Tb2Pr3Ho6
1.0
4.770 0.000 0.000
0.000 4.770 0.000
-2.385 -2.385 16.637
Ho Pr Tb
6 3 2
Direct
0.380 0.880 0.760
0.691 0.691 0.383
0.620 0.120 0.240
0.880 0.380 0.760
0.309 0.309 0.617
0.120 0.620 0.240
0.795 0.795 0.591
0.205 0.205 0.409
0.000 0.000 0.000
0.546 0.546 0.092
0.454 0.454 0.908
```

Results
DFT formation energy: 25.9 kJ/mol of atoms


(6)
VASP calculation (GGA-PBE) on a relaxed TbPr7Ho12 crystal.

Structure (POSCAR):
```
TbPr7Ho12
1.0
-0.001 9.600 2.009
1.654 -1.336 -9.575
-8.706 -3.840 2.381
Ho Pr Tb
12 7 1
Direct
0.000 0.247 0.754
0.507 0.753 0.754
0.753 0.246 0.000
0.493 0.247 0.246
0.754 0.507 0.753
0.753 0.754 0.507
0.246 0.493 0.247
0.000 0.753 0.246
0.247 0.246 0.493
0.247 0.754 0.000
0.754 0.000 0.247
0.246 0.000 0.753
0.500 0.000 0.000
0.000 0.500 0.000
0.500 0.500 0.000
0.500 0.500 0.500
0.000 0.500 0.500
0.500 0.000 0.500
0.000 0.000 0.500
0.000 0.000 0.000
```

Results
DFT formation energy: 61.4 kJ/mol of atoms